A relaxed CaCO3 crystal, computed with GGA-PBEsol.

The structure belongs to space group P321 (No. 150); the cell edges are 4.9794, 4.9794 and 8.5575 Å and the angles 90.00°, 90.00° and 120.00°. Symmetry generates all atoms from Ca at (0.0000, 0.0000, 0.0000), Ca at (0.3333, 0.6667, 0.6655), C at (0.0000, 0.0000, 0.5000), C at (0.3333, 0.6667, 0.1703), O at (0.0000, 0.7401, 0.5000) and O at (0.0752, 0.4042, 0.1705).

The value obtained for the formation energy (no corrections) is -2.280 eV per atom. For the total energy, the calculation gives -7.785 eV per atom.